1.
Compound: In2IrAu2
Source: OQMD via LeMat-Bulk
Functional: PBE
Structure: optimized geometry

Results
relative energy among the computed polymorphs = 0.0 kJ/mol of atoms
total moment = 0.00 μB/atom
ρ = 14.2 g/cm³
energy = -0.27527 Ry/atom

Cell: 3.891 3.891 12.604 Å, 90.00 90.00 90.00°
Space group I4/mmm (No. 139)
Unique sites:
In: 0.000 0.000 0.100 (multiplicity 4)
Ir: 0.000 0.000 0.500 (multiplicity 2)
Au: 0.000 0.500 0.250 (multiplicity 4)

---

2.
Compound: KRb2CuCl6
Source: OQMD via LeMat-Bulk
Functional: PBE
Structure: optimized geometry

Results
relative energy among the computed polymorphs = 0.0 kJ/mol of atoms
ρ = 2.7 g/cm³
energy = -0.22626 Ry/atom

Cell: 6.970 6.970 12.173 Å, 90.00 90.00 90.00°
Space group I4/m (No. 87)
Unique sites:
K: 0.000 0.000 0.000 (multiplicity 2)
Rb: 0.000 0.500 0.250 (multiplicity 4)
Cu: 0.000 0.000 0.500 (multiplicity 2)
Cl: 0.000 0.000 0.248 (multiplicity 4)
Cl: 0.085 0.697 0.500 (multiplicity 8)